# 1
The following is a DFT calculation (GGA-PBE) of an optimized crystal structure of TiInTe2.

Computed properties:
As for the raw formation energy: -0.486 eV/atom. As for the total DFT energy (no corrections): -0.347 Ry/atom. The value obtained for the density of states at the Fermi level is 0.646 states/eV/atom.

a = 3.8035 Å, b = 3.8035 Å, c = 26.3921 Å
α = 90.00°, β = 90.00°, γ = 120.00°
Space group R3m (No. 160, hexagonal axes)
Unique sites:
Ti  0.0000  0.0000  0.0000
In  0.0000  0.0000  0.8364
Te  0.0000  0.0000  0.3984
Te  0.0000  0.0000  0.6013

=====

# 2
The following is a DFT calculation (GGA-PBE) of an optimized crystal structure of Rb4SI2.

Computed properties:
The energy above the most stable polymorph in this dataset is 0.03 eV per formula unit. As for the raw formation energy: -1.221 eV/atom. As for the total DFT energy (no corrections): -0.206 Ry/atom. The value obtained for the density of states at the Fermi level is 0.000 states/eV/atom.

a = 9.934 Å, b = 8.171 Å, c = 10.075 Å
α = 90.00°, β = 116.73°, γ = 90.00°
Space group P2_1/m (No. 11)
Unique sites:
Rb  0.014  0.250  0.277
Rb  0.281  0.250  0.018
Rb  0.379  0.002  0.616
S  0.360  0.250  0.359
I  0.002  0.250  0.631
I  0.370  0.750  0.012

=====

# 3
The following is a DFT calculation (GGA-PBE) of an optimized crystal structure of Tl2GaAu2.

Computed properties:
The value obtained for the formation energy from the elements is -102 meV per atom. The energy above the most stable polymorph in this dataset is 0.00 eV per formula unit. As for the total DFT energy (no corrections): -0.218 Ry/atom. The value obtained for the density of states at the Fermi level is 0.333 states/eV/atom.

a = 12.630 Å, b = 4.005 Å, c = 11.228 Å
α = 90.00°, β = 120.61°, γ = 90.00°
Space group C2/m (No. 12)
Unique sites:
Tl  0.041  0.000  0.205
Tl  0.187  0.000  0.586
Ga  0.220  0.500  0.881
Au  0.031  0.500  0.639
Au  0.129  0.500  0.051

=====

# 4
The following is a DFT calculation (GGA-PBE) of an optimized crystal structure of HfZr6Sn.

Computed properties:
The value obtained for the formation energy from the elements is 147 meV per atom. As for the total DFT energy (no corrections): -0.589 Ry/atom. The value obtained for the density of states at the Fermi level is 1.007 states/eV/atom.

a = 8.344 Å, b = 6.180 Å, c = 7.990 Å
α = 90.00°, β = 103.93°, γ = 90.00°
Space group C2/m (No. 12)
Unique sites:
Hf  0.000  0.000  0.000
Zr  0.129  0.500  0.931
Zr  0.203  0.257  0.298
Sn  0.000  0.500  0.500

=====

Question: The lowest density of states at the Fermi level belongs to which entry?
Answer: Rb4SI2

=====

Please write out number 3 again, unchanged.
The following is a DFT calculation (GGA-PBE) of an optimized crystal structure of Tl2GaAu2.

Computed properties:
The value obtained for the formation energy from the elements is -102 meV per atom. The energy above the most stable polymorph in this dataset is 0.00 eV per formula unit. As for the total DFT energy (no corrections): -0.218 Ry/atom. The value obtained for the density of states at the Fermi level is 0.333 states/eV/atom.

a = 12.630 Å, b = 4.005 Å, c = 11.228 Å
α = 90.00°, β = 120.61°, γ = 90.00°
Space group C2/m (No. 12)
Unique sites:
Tl  0.041  0.000  0.205
Tl  0.187  0.000  0.586
Ga  0.220  0.500  0.881
Au  0.031  0.500  0.639
Au  0.129  0.500  0.051

=====

Question: Which of these has the highest total DFT energy (no corrections)?
Answer: Rb4SI2